Entry 1:
! BaCu2PdBr8 | Alexandria | PBE | optimized geometry; values from VASP
&SYSTEM
  ibrav = 0, nat = 12, ntyp = 4
/
ATOMIC_SPECIES
Br 79.90 Br.upf
Pd 106.42 Pd.upf
Ba 137.33 Ba.upf
Cu 63.55 Cu.upf
CELL_PARAMETERS angstrom
7.560 0.000 0.000
-3.780 6.547 0.000
0.000 0.000 8.496
ATOMIC_POSITIONS angstrom
Br 3.780 2.182 4.552
Br 2.016 5.528 6.906
Br 0.000 2.037 6.906
Br 3.780 4.510 1.590
Br 0.000 4.365 3.944
Br 5.795 1.019 1.590
Br -2.016 5.528 6.906
Br 1.764 1.019 1.590
Pd 0.000 0.000 0.000
Ba 0.000 0.000 4.248
Cu 0.000 4.365 6.247
Cu 3.780 2.182 2.249
! space-group type	P-3m1
! calculated total energy	-37.2	eV/f.u.
! formation energy without anion corrections	-0.71	eV per atom
! ρ	3.99	g cm⁻³
! total magnetic moment	0.000	μB per formula unit

***

Entry 2:
! Ba8CuPt3Br4 | Alexandria | PBE | optimized geometry; values from VASP
&SYSTEM
  ibrav = 0, nat = 16, ntyp = 4
/
ATOMIC_SPECIES
Ba 137.33 Ba.upf
Br 79.90 Br.upf
Pt 195.08 Pt.upf
Cu 63.55 Cu.upf
CELL_PARAMETERS angstrom
9.158 0.000 0.000
0.000 9.895 0.513
-4.579 -4.572 6.478
ATOMIC_POSITIONS angstrom
Ba 0.000 0.448 3.548
Ba -2.241 2.621 6.669
Ba 0.000 4.859 3.495
Ba 4.579 4.875 3.443
Ba 4.579 0.464 3.496
Ba 6.819 2.702 0.322
Ba 2.241 2.621 6.669
Ba 2.338 2.702 0.322
Br 0.000 0.000 0.000
Br -2.289 -2.286 3.239
Br 4.579 0.000 0.000
Br 2.289 -2.286 3.239
Pt 4.579 4.947 0.257
Pt -2.289 2.662 3.496
Pt 2.289 2.662 3.496
Cu 0.000 4.947 0.257
! space-group type	R-3m
! calculated total energy	-62.9	eV/f.u.
! formation energy without anion corrections	-1.16	eV per atom
! ρ	5.64	g cm⁻³
! total magnetic moment	0.000	μB per formula unit